{"formula": "AlCuMo3", "functional": "PBE", "state": "relaxed", "cell": [[4.507, 0.000, 0.000], [0.000, 4.507, 0.000], [0.000, 0.000, 4.507]], "species": ["Al", "Cu", "Mo", "Mo", "Mo"], "frac_coords": [[0.000, 0.000, 0.000], [0.500, 0.500, 0.500], [0.000, 0.500, 0.500], [0.500, 0.000, 0.500], [0.500, 0.500, 0.000]], "formation_enthalpy_0k_kj_per_mol_atoms": 138, "relative_energy_ev_per_fu": 0.00, "dft_energy_ev_per_cell": -33.19, "m_tot_mub_per_cell": 0.000}